1.
The following is a GGA-PBE calculation of KZn2BiPt after structural relaxation, from the Alexandria database.

a b c (Å): 4.9976 4.9976 5.4962
angles (deg): 90.00 90.00 90.00
With the nearest neighbours (Å) after each atom.
Element x y z (fractional)
Bi (0.0000, 0.0000, 0.5000)  2 Pt 2.75
Pt (0.0000, 0.0000, 0.0000)  4 Zn 2.50, 2 Bi 2.75
K (0.5000, 0.5000, 0.5000)  4 Bi 3.53, 8 Zn 3.71
Zn (0.0000, 0.5000, 0.0000)  2 Pt 2.50
Zn (0.5000, 0.0000, 0.0000)  2 Pt 2.50

The calculation puts the formation energy at -69.3 kJ/mol of formula units.

=====

2.
The following is a GGA-PBE calculation of KPuBi4 after structural relaxation, from the Alexandria database.

a b c (Å): 6.6681 6.6681 6.6681
angles (deg): 60.00 60.00 60.00
With the nearest neighbours (Å) after each atom.
Element x y z (fractional)
Bi (0.6253, 0.1240, 0.6253)  6 Bi 3.33-3.34
Bi (0.6253, 0.6253, 0.6253)  6 Bi 3.33-3.34
Pu (0.0000, 0.0000, 0.0000)  12 Bi 3.91, 4 K 4.08
Bi (0.6253, 0.6253, 0.1240)  6 Bi 3.33-3.34
Bi (0.1240, 0.6253, 0.6253)  6 Bi 3.33-3.34
K (0.2500, 0.2500, 0.2500)  12 Bi 3.91, 4 Pu 4.08

The calculation puts the formation energy at -29.5 kJ/mol of formula units.

=====

3.
The following is a GGA-PBE calculation of KPuBi after structural relaxation, from the Alexandria database.

a b c (Å): 4.2782 4.2782 7.2753
angles (deg): 107.10 107.10 90.00
With the nearest neighbours (Å) after each atom.
Element x y z (fractional)
Bi (0.7018, 0.7018, 0.4035)  4 Pu 3.22
Pu (0.2852, 0.2852, 0.5703)  4 Bi 3.22, 1 K 3.60
K (0.0131, 0.0131, 0.0261)  1 Pu 3.60, 4 Bi 3.92

The calculation puts the formation energy at -4.3 kJ/mol of formula units.

=====

4.
The following is a GGA-PBE calculation of KPuBi after structural relaxation, from the Alexandria database.

a b c (Å): 5.0458 5.3066 10.6026
angles (deg): 103.82 90.00 118.39
With the nearest neighbours (Å) after each atom.
Element x y z (fractional)
K (0.3828, 0.7655, 0.6077)  3 Bi 3.46, 3 K 3.57-3.83
Bi (0.1107, 0.2214, 0.7742)  4 Pu 3.27-3.33, 3 K 3.46
Pu (0.8256, 0.6513, 0.9072)  4 Bi 3.27-3.33, 1 Pu 3.32
Pu (0.1744, 0.3487, 0.0928)  4 Bi 3.27-3.33, 1 Pu 3.32
K (0.6172, 0.2345, 0.3923)  3 Bi 3.46, 3 K 3.57-3.83
Bi (0.8893, 0.7786, 0.2258)  4 Pu 3.27-3.33, 3 K 3.46

The calculation puts the formation energy at -37.4 kJ/mol of formula units.

=====

5.
The following is a GGA-PBE calculation of K3PuBi3S8 after structural relaxation, from the Alexandria database.

a b c (Å): 8.2148 8.2147 8.9175
angles (deg): 117.44 90.00 120.00
With the nearest neighbours (Å) after each atom.
Element x y z (fractional)
Pu (0.0000, 0.0000, 0.5000)  6 S 2.71
Bi (0.0000, 0.5000, 0.5000)  6 S 2.85-2.86
S (0.2512, 0.0266, 0.3022)  1 Pu 2.71, 2 Bi 2.85
S (0.7488, 0.9734, 0.6978)  1 Pu 2.71, 2 Bi 2.85
S (0.7369, 0.4738, 0.7107)  3 Bi 2.86
S (0.2631, 0.5262, 0.2893)  3 Bi 2.86
K (0.5000, 0.5000, 0.0000)  6 S 3.22-3.25
K (0.0000, 0.5000, 0.0000)  6 S 3.22-3.25
S (0.7754, 0.0266, 0.3022)  1 Pu 2.71, 2 Bi 2.85
S (0.7754, 0.5509, 0.3021)  1 Pu 2.71, 2 Bi 2.85
K (0.0000, 0.0000, 0.0000)  6 S 3.22-3.25
Bi (0.5000, 0.0000, 0.5000)  6 S 2.85-2.86
S (0.2246, 0.4491, 0.6979)  1 Pu 2.71, 2 Bi 2.85
S (0.2246, 0.9734, 0.6978)  1 Pu 2.71, 2 Bi 2.85
Bi (0.5000, 0.5000, 0.5000)  6 S 2.85-2.86

The uncorrected formation energy comes out at -0.930 eV per atom.

=====

6.
The following is a GGA-PBE calculation of K3Pu2BiS6 after structural relaxation, from the Alexandria database.

a b c (Å): 7.1569 7.1569 7.7326
angles (deg): 98.87 98.87 119.99
With the nearest neighbours (Å) after each atom.
Element x y z (fractional)
S (0.7259, 0.7259, 0.2039)  2 Pu 2.79, 1 Bi 2.87
S (0.9319, 0.5899, 0.7957)  2 Pu 2.79, 1 Bi 2.87
K (0.8361, 0.1639, 0.5000)  6 S 3.21-3.25
S (0.0681, 0.4101, 0.2043)  2 Pu 2.79, 1 Bi 2.87
K (0.5000, 0.5000, 0.5000)  6 S 3.18-3.25
S (0.5899, 0.9319, 0.7957)  2 Pu 2.79, 1 Bi 2.87
Pu (0.3331, 0.6669, 0.0000)  6 S 2.79
K (0.1639, 0.8361, 0.5000)  6 S 3.21-3.25
Pu (0.6669, 0.3331, 0.0000)  6 S 2.79
Bi (0.0000, 0.0000, 0.0000)  6 S 2.87
S (0.2741, 0.2741, 0.7961)  2 Pu 2.79, 1 Bi 2.87
S (0.4101, 0.0681, 0.2043)  2 Pu 2.79, 1 Bi 2.87

The uncorrected formation energy comes out at -1.326 eV per atom.

=====

7.
The following is a GGA-PBE calculation of K3Pu3BiS8 after structural relaxation, from the Alexandria database.

a b c (Å): 8.1726 8.1732 8.7701
angles (deg): 117.79 90.00 120.00
With the nearest neighbours (Å) after each atom.
Element x y z (fractional)
Pu (0.5000, 0.5000, 0.5000)  6 S 2.75-2.78
S (0.7326, 0.4652, 0.6977)  3 Pu 2.78
K (0.0000, 0.5000, 0.0000)  6 S 3.25-3.27
Pu (0.5000, 0.0000, 0.5000)  6 S 2.75-2.78
S (0.2377, 0.9606, 0.6982)  2 Pu 2.75, 1 Bi 2.84
K (0.5000, 0.5000, 0.0000)  6 S 3.25-3.27
S (0.7623, 0.5247, 0.3018)  2 Pu 2.75, 1 Bi 2.84
S (0.7623, 0.0394, 0.3018)  2 Pu 2.75, 1 Bi 2.84
Bi (0.0000, 0.0000, 0.5000)  6 S 2.84
K (0.0000, 0.0000, 0.0000)  6 S 3.25-3.27
S (0.7230, 0.9606, 0.6982)  2 Pu 2.75, 1 Bi 2.84
S (0.2770, 0.0394, 0.3018)  2 Pu 2.75, 1 Bi 2.84
S (0.2377, 0.4753, 0.6982)  2 Pu 2.75, 1 Bi 2.84
S (0.2674, 0.5348, 0.3023)  3 Pu 2.78
Pu (0.0000, 0.5000, 0.5000)  6 S 2.75-2.78

The uncorrected formation energy comes out at -1.366 eV per atom.

=====

8.
The following is a GGA-PBE calculation of K4Pu3BiS8 after structural relaxation, from the Alexandria database.

a b c (Å): 8.2700 8.7562 8.2699
angles (deg): 118.18 120.00 90.00
With the nearest neighbours (Å) after each atom.
Element x y z (fractional)
K (0.0000, 0.0000, 0.5000)  6 S 3.24-3.26
S (0.2379, 0.7043, 0.4758)  2 Pu 2.80, 1 Bi 2.86
Pu (0.5000, 0.5000, 0.0000)  6 S 2.79-2.80
S (0.7285, 0.7043, 0.9664)  2 Pu 2.80, 1 Bi 2.86
S (0.2673, 0.3020, 0.5347)  3 Pu 2.79
S (0.7621, 0.2957, 0.0336)  2 Pu 2.80, 1 Bi 2.86
K (0.5000, 0.0000, 0.5000)  6 S 3.24-3.26
S (0.2379, 0.7043, 0.9664)  2 Pu 2.80, 1 Bi 2.86
Pu (0.5000, 0.5000, 0.5000)  6 S 2.79-2.80
K (0.5000, 0.0000, 0.0000)  6 S 3.19
S (0.7327, 0.6980, 0.4653)  3 Pu 2.79
S (0.2715, 0.2957, 0.0336)  2 Pu 2.80, 1 Bi 2.86
S (0.7621, 0.2957, 0.5242)  2 Pu 2.80, 1 Bi 2.86
Bi (0.0000, 0.5000, 0.0000)  6 S 2.86
Pu (0.0000, 0.5000, 0.5000)  6 S 2.79-2.80
K (0.0000, 0.0000, 0.0000)  6 S 3.24-3.26

The uncorrected formation energy comes out at -1.389 eV per atom.

=====

9.
The following is a GGA-PBE calculation of KPuBiSb after structural relaxation, from the Alexandria database.

a b c (Å): 3.5308 3.5308 9.8946
angles (deg): 90.00 90.00 90.00
With the nearest neighbours (Å) after each atom.
Element x y z (fractional)
Bi (0.0000, 0.0000, 0.0926)  4 Pu 3.44, 4 Bi 3.53, 4 K 3.73
Pu (0.5000, 0.5000, 0.3319)  4 Sb 3.29, 4 Bi 3.44, 4 Pu 3.53
K (0.5000, 0.5000, 0.8123)  4 K 3.53, 4 Sb 3.62, 4 Bi 3.73
Sb (0.0000, 0.0000, 0.5479)  4 Pu 3.29, 4 Sb 3.53, 4 K 3.62

The uncorrected formation energy comes out at -0.422 eV per atom.

=====

10.
The following is a GGA-PBE calculation of K4Pu3BiSe8 after structural relaxation, from the Alexandria database.

a b c (Å): 8.6058 9.1221 8.6057
angles (deg): 118.15 120.00 90.00
With the nearest neighbours (Å) after each atom.
Element x y z (fractional)
K (0.0000, 0.0000, 0.5000)  6 Se 3.36-3.37
Se (0.7615, 0.2921, 0.0306)  2 Pu 2.93, 1 Bi 2.98
Bi (0.0000, 0.5000, 0.0000)  6 Se 2.98
Pu (0.0000, 0.5000, 0.5000)  6 Se 2.93
Pu (0.5000, 0.5000, 0.5000)  6 Se 2.93
Se (0.7309, 0.7079, 0.9694)  2 Pu 2.93, 1 Bi 2.98
K (0.5000, 0.0000, 0.5000)  6 Se 3.36-3.37
K (0.0000, 0.0000, 0.0000)  6 Se 3.36-3.37
Se (0.2657, 0.2970, 0.5313)  3 Pu 2.93
Se (0.2385, 0.7079, 0.4770)  2 Pu 2.93, 1 Bi 2.98
Se (0.2385, 0.7079, 0.9694)  2 Pu 2.93, 1 Bi 2.98
K (0.5000, 0.0000, 0.0000)  6 Se 3.31
Se (0.7343, 0.7030, 0.4687)  3 Pu 2.93
Pu (0.5000, 0.5000, 0.0000)  6 Se 2.93
Se (0.2691, 0.2921, 0.0306)  2 Pu 2.93, 1 Bi 2.98
Se (0.7615, 0.2921, 0.5230)  2 Pu 2.93, 1 Bi 2.98

The uncorrected formation energy comes out at -1.296 eV per atom.

=====

11.
The following is a GGA-PBE calculation of K2PuBiSe4 after structural relaxation, from the Alexandria database.

a b c (Å): 4.3118 7.4903 8.0695
angles (deg): 107.99 90.00 90.00
With the nearest neighbours (Å) after each atom.
Element x y z (fractional)
Se (0.0000, 0.2700, 0.7935)  2 Pu 2.94, 1 Bi 2.99
Pu (0.5000, 0.5000, 0.0000)  6 Se 2.94-2.95
K (0.0000, 0.5000, 0.5000)  6 Se 3.33
Se (0.5000, 0.7594, 0.7889)  1 Pu 2.95, 2 Bi 2.98
Bi (0.0000, 0.0000, 0.0000)  6 Se 2.98-2.99
K (0.5000, 0.0000, 0.5000)  6 Se 3.36-3.37
Se (0.0000, 0.7300, 0.2065)  2 Pu 2.94, 1 Bi 2.99
Se (0.5000, 0.2406, 0.2111)  1 Pu 2.95, 2 Bi 2.98

The uncorrected formation energy comes out at -1.125 eV per atom.

=====

| no. | DOS(E_F) (states/eV/f.u.) | total energy (eV per atom) |
| --- | --- | --- |
| 1 | 3.13 | -2.857 |
| 2 | 21.43 | -5.210 |
| 3 | 14.00 | -6.452 |
| 4 | 9.85 | -6.566 |
| 5 | 2.73 | -5.082 |
| 6 | 18.02 | -6.376 |
| 7 | 25.26 | -6.912 |
| 8 | 27.14 | -6.657 |
| 9 | 8.53 | -6.280 |
| 10 | 33.58 | -6.243 |
| 11 | 11.21 | -5.418 |